# Tb4Tm2Tl | the Alexandria database | PBE-GGA | relaxed
# DFT formation energy: -0.050 eV/atom
# crystal system: monoclinic
# energy above the most stable polymorph in this dataset: 0.0 kJ/mol of atoms
data_Tb4Tm2Tl
_chemical_formula_sum 'Tb16 Tm8 Tl4'
_cell_length_a 3.587
_cell_length_b 20.537
_cell_length_c 11.728
_cell_angle_alpha 90.00
_cell_angle_beta 97.87
_cell_angle_gamma 90.00
_symmetry_space_group_name_H-M 'P 1 21/c 1'
_symmetry_Int_Tables_number 14
loop_
_symmetry_equiv_pos_as_xyz
'x,y,z'
'-x,-y,-z'
'-x,y+1/2,-z+1/2'
'x,-y+1/2,z+1/2'
loop_
_atom_site_label
_atom_site_type_symbol
_atom_site_fract_x
_atom_site_fract_y
_atom_site_fract_z
_atom_site_occupancy
Tb1 Tb 0.010 0.214 0.012 1
Tb2 Tb 0.340 0.502 0.132 1
Tb3 Tb 0.454 0.573 0.396 1
Tb4 Tb 0.466 0.204 0.745 1
Tm1 Tm 0.048 0.573 0.649 1
Tm2 Tm 0.126 0.152 0.322 1
Tl1 Tl 0.176 0.624 0.943 1

***

# CoMoCl2 | the Alexandria database | PBE-GGA | relaxed
# crystal system: trigonal
# ΔE_f (raw): 274 meV/atom
# energy above the most stable polymorph in this dataset: 44.4 kJ/mol of atoms
data_CoMoCl2
_chemical_formula_sum 'Co3 Mo3 Cl6'
_cell_length_a 3.0725
_cell_length_b 3.0725
_cell_length_c 23.5186
_cell_angle_alpha 90.00
_cell_angle_beta 90.00
_cell_angle_gamma 120.00
_symmetry_space_group_name_H-M 'R -3 m'
_symmetry_Int_Tables_number 166
_symmetry_space_group_name_Hall '-R 3 2"'
loop_
_atom_site_label
_atom_site_type_symbol
_atom_site_fract_x
_atom_site_fract_y
_atom_site_fract_z
_atom_site_occupancy
Co1 Co 0.0000 0.0000 0.0000 1
Mo1 Mo 0.0000 0.0000 0.5000 1
Cl1 Cl 0.0000 0.0000 0.0916 1

***

# ReNi2Se | the Alexandria database | PBE-GGA | relaxed
# crystal system: orthorhombic
# ΔE_f (raw): 304 meV/atom
data_ReNi2Se
_chemical_formula_sum 'Re1 Ni2 Se1'
_cell_length_a 2.757
_cell_length_b 4.205
_cell_length_c 4.636
_cell_angle_alpha 90.00
_cell_angle_beta 90.00
_cell_angle_gamma 90.00
_symmetry_space_group_name_H-M 'P m m 2'
_symmetry_Int_Tables_number 25
loop_
_symmetry_equiv_pos_as_xyz
'x,y,z'
'-x,-y,z'
'-x,y,z'
'x,-y,z'
loop_
_atom_site_label
_atom_site_type_symbol
_atom_site_fract_x
_atom_site_fract_y
_atom_site_fract_z
_atom_site_occupancy
Re1 Re 0.000 0.000 0.000 1
Ni1 Ni 0.500 0.000 0.479 1
Ni2 Ni 0.500 0.500 0.178 1
Se1 Se 0.000 0.500 0.677 1

***

# HoLuHg | the Alexandria database | PBE-GGA | relaxed
# DFT formation energy: -0.295 eV/atom
# crystal system: tetragonal
# energy above the most stable polymorph in this dataset: 0.0 kJ/mol of atoms
data_HoLuHg
_chemical_formula_sum 'Ho2 Lu2 Hg2'
_cell_length_a 3.557
_cell_length_b 3.557
_cell_length_c 12.771
_cell_angle_alpha 90.00
_cell_angle_beta 90.00
_cell_angle_gamma 90.00
_symmetry_space_group_name_H-M 'I 4 m m'
_symmetry_Int_Tables_number 107
_symmetry_space_group_name_Hall 'I 4 -2'
loop_
_atom_site_label
_atom_site_type_symbol
_atom_site_fract_x
_atom_site_fract_y
_atom_site_fract_z
_atom_site_occupancy
Ho1 Ho 0.000 0.000 0.000 1
Lu1 Lu 0.000 0.000 0.309 1
Hg1 Hg 0.000 0.000 0.659 1

***

# Tm6TlCd2 | the Alexandria database | PBE-GGA | relaxed
# DFT formation energy: -0.149 eV/atom
# crystal system: orthorhombic
data_Tm6TlCd2
_chemical_formula_sum 'Tm24 Tl4 Cd8'
_cell_length_a 9.821
_cell_length_b 10.147
_cell_length_c 10.154
_cell_angle_alpha 90.00
_cell_angle_beta 90.00
_cell_angle_gamma 90.00
_symmetry_space_group_name_H-M 'I m m m'
_symmetry_Int_Tables_number 71
_symmetry_space_group_name_Hall '-I 2 2'
loop_
_atom_site_label
_atom_site_type_symbol
_atom_site_fract_x
_atom_site_fract_y
_atom_site_fract_z
_atom_site_occupancy
Tm1 Tm 0.000 0.178 0.226 1
Tm2 Tm 0.180 0.500 0.233 1
Tm3 Tm 0.201 0.250 0.500 1
Tl1 Tl 0.000 0.000 0.500 1
Tl2 Tl 0.000 0.500 0.500 1
Cd1 Cd 0.000 0.364 0.000 1
Cd2 Cd 0.143 0.000 0.000 1

***

# BaCr2Se | the Alexandria database | PBE-GGA | relaxed
# crystal system: monoclinic
# ΔE_f (raw): 437 meV/atom
data_BaCr2Se
_chemical_formula_sum 'Ba2 Cr4 Se2'
_cell_length_a 6.332
_cell_length_b 11.618
_cell_length_c 4.474
_cell_angle_alpha 90.00
_cell_angle_beta 134.78
_cell_angle_gamma 90.00
_symmetry_space_group_name_H-M 'C 1 2/m 1'
_symmetry_Int_Tables_number 12
loop_
_symmetry_equiv_pos_as_xyz
'x,y,z'
'-x,-y,-z'
'-x,y,-z'
'x,-y,z'
'x+1/2,y+1/2,z'
'-x+1/2,-y+1/2,-z'
'-x+1/2,y+1/2,-z'
'x+1/2,-y+1/2,z'
loop_
_atom_site_label
_atom_site_type_symbol
_atom_site_fract_x
_atom_site_fract_y
_atom_site_fract_z
_atom_site_occupancy
Ba1 Ba 0.000 0.000 0.000 1
Cr1 Cr 0.250 0.250 0.000 1
Se1 Se 0.000 0.500 0.000 1

***

# NiHgCl2 | the Alexandria database | PBE-GGA | relaxed
# crystal system: cubic
# ΔE_f (raw): 311 meV/atom
# energy above the most stable polymorph in this dataset: 71.3 kJ/mol of atoms
data_NiHgCl2
_chemical_formula_sum 'Ni4 Hg4 Cl8'
_cell_length_a 6.847
_cell_length_b 6.847
_cell_length_c 6.847
_cell_angle_alpha 90.00
_cell_angle_beta 90.00
_cell_angle_gamma 90.00
_symmetry_space_group_name_H-M 'F m -3 m'
_symmetry_Int_Tables_number 225
_symmetry_space_group_name_Hall '-F 4 2 3'
loop_
_atom_site_label
_atom_site_type_symbol
_atom_site_fract_x
_atom_site_fract_y
_atom_site_fract_z
_atom_site_occupancy
Ni1 Ni 0.000 0.000 0.000 1
Hg1 Hg 0.000 0.000 0.500 1
Cl1 Cl 0.250 0.250 0.250 1

***

# CsCr3Ge | the Alexandria database | PBE-GGA | relaxed
# DFT formation energy: 2.571 eV/atom
# crystal system: cubic
data_CsCr3Ge
_chemical_formula_sum 'Cs1 Cr3 Ge1'
_cell_length_a 5.163
_cell_length_b 5.163
_cell_length_c 5.163
_cell_angle_alpha 90.00
_cell_angle_beta 90.00
_cell_angle_gamma 90.00
_symmetry_space_group_name_H-M 'P m -3 m'
_symmetry_Int_Tables_number 221
_symmetry_space_group_name_Hall '-P 4 2 3'
loop_
_atom_site_label
_atom_site_type_symbol
_atom_site_fract_x
_atom_site_fract_y
_atom_site_fract_z
_atom_site_occupancy
Cs1 Cs 0.000 0.000 0.000 1
Cr1 Cr 0.000 0.000 0.500 1
Ge1 Ge 0.500 0.500 0.500 1

***

# La3TmIn2 | the Alexandria database | PBE-GGA | relaxed
# DFT formation energy: -0.308 eV/atom
# crystal system: orthorhombic
# energy above the most stable polymorph in this dataset: 4.7 kJ/mol of atoms
data_La3TmIn2
_chemical_formula_sum 'La12 Tm4 In8'
_cell_length_a 6.855
_cell_length_b 17.031
_cell_length_c 6.810
_cell_angle_alpha 90.00
_cell_angle_beta 90.00
_cell_angle_gamma 90.00
_symmetry_space_group_name_H-M 'I b a m'
_symmetry_Int_Tables_number 72
_symmetry_space_group_name_Hall '-I 2 2c'
loop_
_atom_site_label
_atom_site_type_symbol
_atom_site_fract_x
_atom_site_fract_y
_atom_site_fract_z
_atom_site_occupancy
La1 La 0.000 0.000 0.250 1
La2 La 0.248 0.176 0.000 1
Tm1 Tm 0.000 0.500 0.250 1
In1 In 0.236 0.369 0.000 1

***

# Cs2BiAuF6 | the Alexandria database | PBE-GGA | relaxed
# crystal system: tetragonal
# ΔE_f (raw): -2152 meV/atom
data_Cs2BiAuF6
_chemical_formula_sum 'Cs4 Bi2 Au2 F12'
_cell_length_a 6.638
_cell_length_b 6.638
_cell_length_c 10.107
_cell_angle_alpha 90.00
_cell_angle_beta 90.00
_cell_angle_gamma 90.00
_symmetry_space_group_name_H-M 'I 4/m m m'
_symmetry_Int_Tables_number 139
_symmetry_space_group_name_Hall '-I 4 2'
loop_
_atom_site_label
_atom_site_type_symbol
_atom_site_fract_x
_atom_site_fract_y
_atom_site_fract_z
_atom_site_occupancy
Cs1 Cs 0.000 0.500 0.250 1
Bi1 Bi 0.000 0.000 0.000 1
Au1 Au 0.000 0.000 0.500 1
F1 F 0.000 0.000 0.224 1
F2 F 0.243 0.243 0.000 1

***

# BeRe2Sn | the Alexandria database | PBE-GGA | relaxed
# DFT formation energy: 0.608 eV/atom
# crystal system: tetragonal
# energy above the most stable polymorph in this dataset: 0.0 kJ/mol of atoms
data_BeRe2Sn
_chemical_formula_sum 'Be4 Re8 Sn4'
_cell_length_a 3.928
_cell_length_b 3.928
_cell_length_c 17.978
_cell_angle_alpha 90.00
_cell_angle_beta 90.00
_cell_angle_gamma 90.00
_symmetry_space_group_name_H-M 'I -4 2 d'
_symmetry_Int_Tables_number 122
_symmetry_space_group_name_Hall 'I -4 2bw'
loop_
_atom_site_label
_atom_site_type_symbol
_atom_site_fract_x
_atom_site_fract_y
_atom_site_fract_z
_atom_site_occupancy
Be1 Be 0.000 0.000 0.000 1
Re1 Re 0.176 0.250 0.125 1
Sn1 Sn 0.000 0.000 0.500 1

***

# PuHfRe | the Alexandria database | PBE-GGA | relaxed
# DFT formation energy: 0.039 eV/atom
# crystal system: trigonal
data_PuHfRe
_chemical_formula_sum 'Pu18 Hf18 Re18'
_cell_length_a 5.4381
_cell_length_b 5.4381
_cell_length_c 39.1987
_cell_angle_alpha 90.00
_cell_angle_beta 90.00
_cell_angle_gamma 120.00
_symmetry_space_group_name_H-M 'R -3 m'
_symmetry_Int_Tables_number 166
_symmetry_space_group_name_Hall '-R 3 2"'
loop_
_atom_site_label
_atom_site_type_symbol
_atom_site_fract_x
_atom_site_fract_y
_atom_site_fract_z
_atom_site_occupancy
Pu1 Pu 0.0409 0.5205 0.2771 1
Hf1 Hf 0.0000 0.0000 0.2314 1
Hf2 Hf 0.0000 0.0000 0.3163 1
Hf3 Hf 0.0000 0.0000 0.4619 1
Re1 Re 0.0000 0.0000 0.0000 1
Re2 Re 0.0000 0.0000 0.1114 1
Re3 Re 0.0000 0.5000 0.5000 1

***

# CsThTe4Au | the Alexandria database | PBE-GGA | relaxed
# crystal system: monoclinic
# ΔE_f (raw): -818 meV/atom
data_CsThTe4Au
_chemical_formula_sum 'Cs2 Th2 Te8 Au2'
_cell_length_a 7.919
_cell_length_b 6.301
_cell_length_c 10.817
_cell_angle_alpha 90.00
_cell_angle_beta 107.35
_cell_angle_gamma 90.00
_symmetry_space_group_name_H-M 'P 1 21/m 1'
_symmetry_Int_Tables_number 11
loop_
_symmetry_equiv_pos_as_xyz
'x,y,z'
'-x,-y,-z'
'-x,y+1/2,-z'
'x,-y+1/2,z'
loop_
_atom_site_label
_atom_site_type_symbol
_atom_site_fract_x
_atom_site_fract_y
_atom_site_fract_z
_atom_site_occupancy
Cs1 Cs 0.216 0.250 0.052 1
Th1 Th 0.274 0.250 0.555 1
Te1 Te 0.015 0.507 0.693 1
Te2 Te 0.422 0.750 0.593 1
Te3 Te 0.477 0.750 0.159 1
Au1 Au 0.291 0.750 0.328 1

***

# Rb2GaI6Cl | the Alexandria database | PBE-GGA | relaxed
# crystal system: tetragonal
# ΔE_f (raw): -644 meV/atom
data_Rb2GaI6Cl
_chemical_formula_sum 'Rb4 Ga2 I12 Cl2'
_cell_length_a 8.146
_cell_length_b 8.146
_cell_length_c 12.829
_cell_angle_alpha 90.00
_cell_angle_beta 90.00
_cell_angle_gamma 90.00
_symmetry_space_group_name_H-M 'I 4/m m m'
_symmetry_Int_Tables_number 139
_symmetry_space_group_name_Hall '-I 4 2'
loop_
_atom_site_label
_atom_site_type_symbol
_atom_site_fract_x
_atom_site_fract_y
_atom_site_fract_z
_atom_site_occupancy
Rb1 Rb 0.000 0.500 0.250 1
Ga1 Ga 0.000 0.000 0.000 1
I1 I 0.000 0.000 0.222 1
I2 I 0.243 0.243 0.000 1
Cl1 Cl 0.000 0.000 0.500 1

***

no.,total energy (eV for the cell shown),density of states at the Fermi level (states/eV/atom)
1,-120.73,1.36
2,-61.60,0.71
3,-26.28,1.11
4,-20.57,0.95
5,-129.48,1.00
6,-45.81,0.60
7,-34.13,1.70
8,-21.48,1.19
9,-106.31,1.33
10,-83.23,0.00
11,-120.77,0.58
12,-659.10,1.32
13,-59.68,0.68
14,-45.10,0.80